[1]
Entry from the Alexandria database: a geometry-optimized EuGaCo4 structure (GGA-PBE).

As for the crystal system: cubic. The space-group type is No. 216. The value obtained for the formation energy is 66 meV/atom. The density of states at the Fermi level is 18.988 states/eV per cell. For the total magnetization, the calculation gives 11.962 μB/cell.

Unit cell a=4.961 b=4.961 c=4.961 alpha=60.00 beta=60.00 gamma=60.00
Site moments in Bohr magnetons follow the coordinates.
Fractional coordinates of all 6 atoms:
Co (0.624, 0.129, 0.624)  1.40
Co (0.129, 0.624, 0.624)  1.40
Eu (0.000, 0.000, 0.000)  6.47
Ga (0.250, 0.250, 0.250)  -0.04
Co (0.624, 0.624, 0.129)  1.40
Co (0.624, 0.624, 0.624)  1.40



[2]
Entry from the Alexandria database: a geometry-optimized PrEuGaCo structure (GGA-PBE).

As for the crystal system: cubic. The space-group type is No. 216. The value obtained for the formation energy is -101 meV/atom. The density of states at the Fermi level is 5.814 states/eV per cell. For the total magnetization, the calculation gives 5.933 μB/cell.

Unit cell a=5.125 b=5.125 c=5.125 alpha=60.00 beta=60.00 gamma=60.00
Site moments in Bohr magnetons follow the coordinates.
Fractional coordinates of all 4 atoms:
Co (0.500, 0.500, 0.500)  -1.40
Pr (0.250, 0.250, 0.250)  0.11
Ga (0.000, 0.000, 0.000)  -0.01
Eu (0.750, 0.750, 0.750)  6.82



[3]
Entry from the Alexandria database: a geometry-optimized EuGd2Co structure (GGA-PBE).

As for the crystal system: trigonal. The space-group type is No. 166. The value obtained for the formation energy is -43 meV/atom. The density of states at the Fermi level is 3.701 states/eV per cell. For the total magnetization, the calculation gives 6.679 μB/cell.

Unit cell a=3.890 b=3.890 c=9.728 alpha=78.47 beta=78.47 gamma=60.00
Site moments in Bohr magnetons follow the coordinates.
Fractional coordinates of all 4 atoms:
Co (0.000, 0.000, 0.000)  -0.15
Gd (0.718, 0.718, 0.846)  7.03
Eu (0.500, 0.500, 0.500)  -7.00
Gd (0.282, 0.282, 0.154)  7.03



[4]
Entry from the Alexandria database: a geometry-optimized EuGdCo structure (GGA-PBE).

As for the crystal system: tetragonal. The space-group type is No. 107. The value obtained for the formation energy is 39 meV/atom. The density of states at the Fermi level is 7.823 states/eV per cell. For the total magnetization, the calculation gives 0.392 μB/cell.

Unit cell a=3.438 b=3.438 c=6.948 alpha=104.33 beta=104.33 gamma=90.00
Site moments in Bohr magnetons follow the coordinates.
Fractional coordinates of all 3 atoms:
Gd (0.289, 0.289, 0.577)  6.91
Eu (0.035, 0.035, 0.070)  -6.90
Co (0.676, 0.676, 0.353)  0.69



[5]
Entry from the Alexandria database: a geometry-optimized EuGdCoIr structure (GGA-PBE).

As for the crystal system: cubic. The space-group type is No. 216. The value obtained for the formation energy is -195 meV/atom. The density of states at the Fermi level is 9.165 states/eV per cell. For the total magnetization, the calculation gives 12.857 μB/cell.

Unit cell a=4.898 b=4.898 c=4.898 alpha=60.00 beta=60.00 gamma=60.00
Site moments in Bohr magnetons follow the coordinates.
Fractional coordinates of all 4 atoms:
Ir (0.000, 0.000, 0.000)  -0.25
Eu (0.750, 0.750, 0.750)  6.75
Co (0.500, 0.500, 0.500)  -1.31
Gd (0.250, 0.250, 0.250)  7.16



[6]
Entry from the Alexandria database: a geometry-optimized LiEuGdCo structure (GGA-PBE).

As for the crystal system: cubic. The space-group type is No. 216. The value obtained for the formation energy is 97 meV/atom. The density of states at the Fermi level is 2.567 states/eV per cell. For the total magnetization, the calculation gives 0.110 μB/cell.

Unit cell a=4.975 b=4.975 c=4.975 alpha=60.00 beta=60.00 gamma=60.00
Site moments in Bohr magnetons follow the coordinates.
Fractional coordinates of all 4 atoms:
Gd (0.500, 0.500, 0.500)  -7.00
Eu (0.000, 0.000, 0.000)  6.78
Li (0.750, 0.750, 0.750)  0.01
Co (0.250, 0.250, 0.250)  -0.06



[7]
Entry from the Alexandria database: a geometry-optimized EuCoGe2 structure (GGA-PBE).

As for the crystal system: trigonal. The space-group type is No. 166. The value obtained for the formation energy is -481 meV/atom. The density of states at the Fermi level is 5.921 states/eV per cell. For the total magnetization, the calculation gives 6.459 μB/cell.

Unit cell a=4.035 b=4.035 c=5.907 alpha=70.03 beta=70.03 gamma=60.00
Site moments in Bohr magnetons follow the coordinates.
Fractional coordinates of all 4 atoms:
Co (0.000, 0.000, 0.000)  -0.47
Ge (0.713, 0.713, 0.862)  -0.02
Eu (0.500, 0.500, 0.500)  6.74
Ge (0.287, 0.287, 0.138)  -0.02



[8]
Entry from the Alexandria database: a geometry-optimized Eu2CoH4 structure (GGA-PBE).

As for the crystal system: tetragonal. The value obtained for the total DFT energy (no corrections) is -6.269 eV/atom. The space-group type is No. 139. The density of states at the Fermi level is 7.581 states/eV per cell. For the total magnetization, the calculation gives 15.217 μB/cell.

Unit cell a=3.568 b=3.568 c=7.392 alpha=103.97 beta=103.97 gamma=90.00
Site moments in Bohr magnetons follow the coordinates.
Fractional coordinates of all 7 atoms:
H (0.119, 0.119, 0.237)  -0.01
Eu (0.631, 0.631, 0.262)  6.93
H (0.881, 0.881, 0.763)  -0.01
H (0.000, 0.500, 0.000)  -0.01
Co (0.000, 0.000, 0.000)  0.49
Eu (0.369, 0.369, 0.738)  6.93
H (0.500, 0.000, 0.000)  -0.01



[9]
Entry from the Alexandria database: a geometry-optimized EuHfCo4 structure (GGA-PBE).

As for the crystal system: cubic. The space-group type is No. 216. The value obtained for the formation energy is -55 meV/atom. The density of states at the Fermi level is 9.840 states/eV per cell. For the total magnetization, the calculation gives 3.194 μB/cell.

Unit cell a=5.000 b=5.000 c=5.000 alpha=60.00 beta=60.00 gamma=60.00
Site moments in Bohr magnetons follow the coordinates.
Fractional coordinates of all 6 atoms:
Co (0.624, 0.128, 0.624)  1.14
Co (0.624, 0.624, 0.624)  1.14
Co (0.128, 0.624, 0.624)  1.14
Co (0.624, 0.624, 0.128)  1.14
Eu (0.000, 0.000, 0.000)  -6.81
Hf (0.250, 0.250, 0.250)  -0.46



[10]
Entry from the Alexandria database: a geometry-optimized Eu3CoHg structure (GGA-PBE).

As for the crystal system: cubic. The space-group type is No. 221. The value obtained for the formation energy is -43 meV/atom. The density of states at the Fermi level is 5.582 states/eV per cell. For the total magnetization, the calculation gives 21.061 μB/cell.

Unit cell a=5.380 b=5.380 c=5.380 alpha=90.00 beta=90.00 gamma=90.00
Site moments in Bohr magnetons follow the coordinates.
Fractional coordinates of all 5 atoms:
Eu (0.500, 0.000, 0.000)  6.88
Hg (0.500, 0.500, 0.500)  0.03
Eu (0.000, 0.000, 0.500)  6.88
Co (0.000, 0.000, 0.000)  -0.72
Eu (0.000, 0.500, 0.000)  6.88



- total magnetization of number 2 (PrEuGaCo)?
  5.933 μB/cell